Below is YZnRh2S after structural relaxation, with properties calculated at the PBE level.

Its uncorrected formation energy is 95 meV/atom.

It has space group P4/mmm (No. 123), with a = 4.651 Å, b = 4.651 Å, c = 4.511 Å, α = 90.00°, β = 90.00° and γ = 90.00°. The asymmetric unit holds Y at (0.000, 0.000, 0.000), Zn at (0.500, 0.500, 0.500), Rh at (0.000, 0.500, 0.500) and S at (0.500, 0.500, 0.000).

=====

Below is KAg2IrCl6 after structural relaxation, with properties calculated at the PBE level.

Its uncorrected formation energy is -764 meV/atom.

It has space group R-3 (No. 148, hexagonal axes), with a = 6.8222 Å, b = 6.8222 Å, c = 20.7749 Å, α = 90.00°, β = 90.00° and γ = 120.00°. The asymmetric unit holds K at (0.0000, 0.0000, 0.0000), Ag at (0.0000, 0.0000, 0.1866), Ir at (0.0000, 0.0000, 0.5000) and Cl at (0.0092, 0.2898, 0.5647).

=====

Below is CdCuIr2 after structural relaxation, with properties calculated at the PBE level.

The total energy is -5.527 eV/atom.

It has space group R3m (No. 160, hexagonal axes), with a = 2.7924 Å, b = 2.7924 Å, c = 27.1873 Å, α = 90.00°, β = 90.00° and γ = 120.00°. The asymmetric unit holds Cd at (0.0000, 0.0000, 0.0000), Cu at (0.0000, 0.0000, 0.7528), Ir at (0.0000, 0.0000, 0.2426) and Ir at (0.0000, 0.0000, 0.4973).

=====

Below is ZnHg2Br after structural relaxation, with properties calculated at the PBE level.

Its uncorrected formation energy is -55 meV/atom.

It has space group P4mm (No. 99), with a = 3.465 Å, b = 3.465 Å, c = 8.751 Å, α = 90.00°, β = 90.00° and γ = 90.00°. The asymmetric unit holds Zn at (0.000, 0.000, 0.000), Hg at (0.000, 0.000, 0.509), Hg at (0.500, 0.500, 0.785) and Br at (0.500, 0.500, 0.167).

=====

Below is Mg2ZnBiN after structural relaxation, with properties calculated at the PBE level.

Its uncorrected formation energy is -226 meV/atom.

It has space group P4/mmm (No. 123), with a = 4.401 Å, b = 4.401 Å, c = 4.436 Å, α = 90.00°, β = 90.00° and γ = 90.00°. The asymmetric unit holds Mg at (0.000, 0.500, 0.000), Zn at (0.000, 0.000, 0.500), Bi at (0.500, 0.500, 0.500) and N at (0.000, 0.000, 0.000).

=====

Below is DyMnCl after structural relaxation, with properties calculated at the PBE level.

Its uncorrected formation energy is -307 meV/atom.

It has space group Pmmm (No. 47), with a = 3.366 Å, b = 4.147 Å, c = 9.233 Å, α = 90.00°, β = 90.00° and γ = 90.00°. The asymmetric unit holds Dy at (0.000, 0.000, 0.191), Mn at (0.500, 0.000, 0.500), Mn at (0.500, 0.500, 0.000) and Cl at (0.500, 0.500, 0.296).